Crystalline Pr3Dy6Ho at its relaxed geometry, computed with PBE.

As for the crystal system: orthorhombic. As for the energy relative to the elements: 0.149 eV per atom. The final energy comes out at -180.2 eV for the cell shown.

It has space group Cmc2_1 (No. 36), with a = 10.989 Å, b = 18.973 Å, c = 6.380 Å, α = 90.00°, β = 90.00° and γ = 90.00°. The asymmetric unit holds Pr at (0.000, 0.112, 0.000), Pr at (0.176, 0.386, 0.606), Dy at (0.000, 0.229, 0.422), Dy at (0.000, 0.462, 0.201), Dy at (0.168, 0.045, 0.521), Dy at (0.239, 0.210, 0.700) and Ho at (0.000, 0.306, 0.942).